Record 1
Below is a relaxed CeDy8Tm6 crystal, with properties calculated at the GGA-PBE level.

abc: 8.541 8.541 8.541
angles: 62.93 62.93 62.93
Each line ends with the local moment (μB).
Fractional coordinates of all 15 atoms:
Dy1 0.112 0.717 0.752  0.03
Dy2 0.577 0.577 0.577  -0.03
Dy3 0.752 0.112 0.717  0.03
Dy4 0.283 0.248 0.888  0.03
Dy5 0.888 0.283 0.248  0.03
Dy6 0.423 0.423 0.423  -0.03
Dy7 0.717 0.752 0.112  0.03
Dy8 0.248 0.888 0.283  0.03
Tm1 0.104 0.539 0.236  0.04
Tm2 0.896 0.461 0.764  0.04
Tm3 0.539 0.236 0.104  0.04
Tm4 0.236 0.104 0.539  0.04
Tm5 0.764 0.896 0.461  0.04
Tm6 0.461 0.764 0.896  0.04
Ce1 0.000 0.000 0.000  0.56

Output
For the mass density, the calculation gives 8.68 g/cm3. The calculation puts the formation energy at 0.135 eV/atom. As for the space group: R-3 (148).

Record 2
Below is a relaxed ZnCoCl crystal, with properties calculated at the GGA-PBE level.

abc: 4.384 4.384 4.384
angles: 60.00 60.00 60.00
Each line ends with the local moment (μB).
Fractional coordinates of all 3 atoms:
Cl1 0.000 0.000 0.000  0.06
Zn1 0.750 0.750 0.750  -0.03
Co1 0.500 0.500 0.500  1.89

Output
The value obtained for the energy relative to the elements, uncorrected is 0.744 eV per atom. The relative energy among the computed polymorphs comes out at 69.43 kJ per mole of atoms. For the mass density, the calculation gives 4.45 g/cm3. As for the space group: F-43m (216).

Record 3
Below is a relaxed BeCoHg2 crystal, with properties calculated at the GGA-PBE level.

abc: 6.067 6.067 4.529
angles: 89.89 89.89 27.44
Fractional coordinates of all 4 atoms:
Co1 0.239 0.239 0.250
Hg1 0.933 0.933 0.249
Hg2 0.723 0.723 0.750
Be1 0.605 0.605 0.250

Output
For the mass density, the calculation gives 10.14 g/cm3. The calculation puts the formation energy at 0.297 eV/atom. As for the space group: Cm (8).

Record 4
Below is a relaxed RbIF2 crystal, with properties calculated at the GGA-PBE level.

abc: 7.238 7.238 6.339
angles: 55.19 55.19 90.00
Fractional coordinates of all 8 atoms:
I1 0.750 0.250 0.500
I2 0.000 0.000 0.000
F1 0.375 0.347 0.750
F2 0.653 0.125 0.250
F3 0.097 0.625 0.250
F4 0.875 0.903 0.750
Rb1 0.250 0.750 0.500
Rb2 0.500 0.500 0.000

Output
The value obtained for the energy relative to the elements, uncorrected is -1.338 eV per atom. The relative energy among the computed polymorphs comes out at 52.64 kJ per mole of atoms. For the mass density, the calculation gives 4.24 g/cm3. As for the space group: I-42d (122).

Record 5
Below is a relaxed Ca2LaDy crystal, with properties calculated at the GGA-PBE level.

abc: 3.713 3.713 12.630
angles: 81.55 81.55 60.00
Each line ends with the local moment (μB).
Fractional coordinates of all 4 atoms:
Dy1 0.500 0.500 0.500  0.32
Ca1 0.086 0.086 0.743  0.02
Ca2 0.247 0.247 0.258  0.02
La1 0.667 0.667 0.000  0.00

Output
The relative energy among the computed polymorphs comes out at 0.00 kJ per mole of atoms. For the mass density, the calculation gives 4.26 g/cm3. The calculation puts the formation energy at 0.104 eV/atom. As for the space group: R3m (160).

Record 6
Below is a relaxed TlCuW2 crystal, with properties calculated at the GGA-PBE level.

abc: 4.511 3.850 3.850
angles: 90.00 90.00 90.00
Fractional coordinates of all 4 atoms:
W1 0.000 0.500 0.500
W2 0.000 0.000 0.000
Cu1 0.500 0.500 0.000
Tl1 0.500 0.000 0.500

Output
The relative energy among the computed polymorphs comes out at 20.63 kJ per mole of atoms. For the mass density, the calculation gives 15.78 g/cm3. The calculation puts the formation energy at 0.763 eV/atom. As for the space group: P4/mmm (123).